Density functional theory data (GGA+U) for an optimized crystal structure of Na2MnAuO.

Output
N(E_F), states/eV/f.u.: 0.83
Calculated total energy, eV per cell: -22.06

Cell lengths 4.7376, 4.7376, 4.0282 Å; angles 90.00, 90.00, 90.00 degrees
Last column: nearest neighbours and their distance in Å.
Sites, in units of the cell vectors:
Na (0.0000, 0.5000, 0.0000)  2 O 2.37
Na (0.5000, 0.0000, 0.0000)  2 O 2.37
Mn (0.0000, 0.0000, 0.5000)  2 O 2.01
Au (0.5000, 0.5000, 0.5000)  8 Na 3.11, 4 Mn 3.35
O (0.0000, 0.0000, 0.0000)  2 Mn 2.01